No. 1
# KBaSc2

A relaxed KBaSc2 crystal (PBEsol, Alexandria via LeMat-Bulk).

Calculated values
- Fermi-level density of states (states/eV per cell) = 8.78
- SG = F-43m (216)
- mass density (Mg/m³) = 3.1
- calculated formation energy (eV/atom) = 0.65

abc: 5.8549 5.8549 5.8549
angles: 60.00 60.00 60.00
Fractional positions:
K1 0.0000 0.0000 0.0000
Ba1 0.7500 0.7500 0.7500
Sc1 0.2500 0.2500 0.2500
Sc2 0.5000 0.5000 0.5000



No. 2
# Sc2TlPb

A relaxed Sc2TlPb crystal (PBEsol, Alexandria via LeMat-Bulk).

Calculated values
- Fermi-level density of states (states/eV per cell) = 3.62
- SG = Pmmm (47)
- mass density (Mg/m³) = 9.1
- calculated formation energy (eV/atom) = -0.36

abc: 3.2964 4.2184 6.5476
angles: 90.00 90.00 90.00
Fractional positions:
Sc1 0.0000 0.0000 0.2451
Sc2 0.0000 0.0000 0.7549
Tl1 0.5000 0.5000 0.0000
Pb1 0.5000 0.5000 0.5000



No. 3
# MgCu5

A relaxed MgCu5 crystal (PBEsol, Alexandria via LeMat-Bulk).

Calculated values
- Fermi-level density of states (states/eV per cell) = 1.75
- SG = P4/mmm (123)
- mass density (Mg/m³) = 7.7
- calculated formation energy (eV/atom) = 0.01

abc: 2.9149 2.9149 8.7213
angles: 90.00 90.00 90.00
Fractional positions:
Mg1 0.0000 0.0000 0.0000
Cu1 0.0000 0.0000 0.3468
Cu2 0.0000 0.0000 0.6532
Cu3 0.5000 0.5000 0.1948
Cu4 0.5000 0.5000 0.5000
Cu5 0.5000 0.5000 0.8052



No. 4
# SiAgAs2

A relaxed SiAgAs2 crystal (PBEsol, Alexandria via LeMat-Bulk).

Calculated values
- Fermi-level density of states (states/eV per cell) = 1.56
- SG = Imm2 (44)
- E_tot (eV/cell) = -18.2
- mass density (Mg/m³) = 6.4

abc: 6.5026 6.5026 6.5026
angles: 149.92 147.55 44.82
Fractional positions:
Si1 0.0000 0.0000 0.0000
Ag1 0.7571 0.2571 0.5000
As1 0.1572 0.6572 0.5000
As2 0.4306 0.4306 0.0000



No. 5
# KPbSN2

A relaxed KPbSN2 crystal (PBEsol, Alexandria via LeMat-Bulk).

Calculated values
- Fermi-level density of states (states/eV per cell) = 1.20
- SG = P4/mmm (123)
- E_tot (eV/cell) = -17.4
- mass density (Mg/m³) = 4.1

abc: 4.6824 4.6824 5.7151
angles: 90.00 90.00 90.00
Fractional positions:
K1 0.0000 0.0000 0.0000
Pb1 0.5000 0.5000 0.5000
S1 0.0000 0.0000 0.5000
N1 0.0000 0.5000 0.0000
N2 0.5000 0.0000 0.0000



No. 6
# Rb2TlAs2

A relaxed Rb2TlAs2 crystal (PBEsol, Alexandria via LeMat-Bulk).

Calculated values
- Fermi-level density of states (states/eV per cell) = 3.23
- SG = P4/mbm (127)
- mass density (Mg/m³) = 5.5
- calculated formation energy (eV/atom) = -0.24

abc: 7.6167 7.6167 5.5138
angles: 90.00 90.00 90.00
Fractional positions:
Rb1 0.1770 0.3230 0.0000
Rb2 0.3230 0.8230 0.0000
Rb3 0.6770 0.1770 0.0000
Rb4 0.8230 0.6770 0.0000
Tl1 0.0000 0.0000 0.5000
Tl2 0.5000 0.5000 0.5000
As1 0.1125 0.6125 0.5000
As2 0.3875 0.1125 0.5000
As3 0.6125 0.8875 0.5000
As4 0.8875 0.3875 0.5000



No. 7
# ScTcAs3

A relaxed ScTcAs3 crystal (PBEsol, Alexandria via LeMat-Bulk).

Calculated values
- Fermi-level density of states (states/eV per cell) = 4.31
- SG = Pm-3m (221)
- mass density (Mg/m³) = 5.1
- calculated formation energy (eV/atom) = 1.02

abc: 4.9372 4.9372 4.9372
angles: 90.00 90.00 90.00
Fractional positions:
Sc1 0.0000 0.0000 0.0000
Tc1 0.5000 0.5000 0.5000
As1 0.0000 0.0000 0.5000
As2 0.0000 0.5000 0.0000
As3 0.5000 0.0000 0.0000



No. 8
# TaAlRh2

A relaxed TaAlRh2 crystal (PBEsol, Alexandria via LeMat-Bulk).

Calculated values
- Fermi-level density of states (states/eV per cell) = 1.91
- SG = P4/mmm (123)
- mass density (Mg/m³) = 12.1
- calculated formation energy (eV/atom) = -0.81

abc: 2.8688 2.8688 6.9028
angles: 90.00 90.00 90.00
Fractional positions:
Ta1 0.0000 0.0000 0.0000
Al1 0.0000 0.0000 0.5000
Rh1 0.5000 0.5000 0.2727
Rh2 0.5000 0.5000 0.7273



No. 9
# KCd2Cu

A relaxed KCd2Cu crystal (PBEsol, Alexandria via LeMat-Bulk).

Calculated values
- Fermi-level density of states (states/eV per cell) = 1.31
- SG = C2/m (12)
- mass density (Mg/m³) = 6.0
- calculated formation energy (eV/atom) = 0.40

abc: 6.5086 6.5086 2.8211
angles: 101.64 101.64 122.68
Fractional positions:
K1 0.0000 0.0000 0.0000
Cd1 0.0000 0.5000 0.5000
Cd2 0.5000 0.0000 0.5000
Cu1 0.5000 0.5000 0.0000



No. 10
# Li3MgNi

A relaxed Li3MgNi crystal (PBEsol, Alexandria via LeMat-Bulk).

Calculated values
- Fermi-level density of states (states/eV per cell) = 2.37
- SG = Pm-3m (221)
- mass density (Mg/m³) = 1.9
- calculated formation energy (eV/atom) = 0.31

abc: 4.4898 4.4898 4.4898
angles: 90.00 90.00 90.00
Fractional positions:
Li1 0.0000 0.0000 0.5000
Li2 0.0000 0.5000 0.0000
Li3 0.5000 0.0000 0.0000
Mg1 0.5000 0.5000 0.5000
Ni1 0.0000 0.0000 0.0000



No. 11
# La3Sc

A relaxed La3Sc crystal (PBEsol, Alexandria via LeMat-Bulk).

Calculated values
- Fermi-level density of states (states/eV per cell) = 5.38
- SG = R-3m (166)
- mass density (Mg/m³) = 6.2
- calculated formation energy (eV/atom) = 0.04

abc: 11.4990 11.4990 11.4990
angles: 17.72 17.72 17.72
Fractional positions:
La1 0.0000 0.0000 0.0000
La2 0.2457 0.2457 0.2457
La3 0.7543 0.7543 0.7543
Sc1 0.5000 0.5000 0.5000



No. 12
# BaSb2Au

A relaxed BaSb2Au crystal (PBEsol, Alexandria via LeMat-Bulk).

Calculated values
- Fermi-level density of states (states/eV per cell) = 2.36
- SG = I-4m2 (119)
- E_tot (eV/cell) = -16.4
- mass density (Mg/m³) = 8.7

abc: 5.7365 5.7365 5.7365
angles: 129.27 129.27 74.58
Fractional positions:
Ba1 0.0000 0.0000 0.0000
Sb1 0.2500 0.7500 0.5000
Sb2 0.5000 0.5000 0.0000
Au1 0.7500 0.2500 0.5000



Number 1: magnetization 0.436 μB per atom. Number 2: magnetization 0.223 μB per atom. Number 3: magnetization 0.000 μB per atom. Number 4: magnetization 0.000 μB per atom. Number 5: magnetization 1.000 μB per atom. Number 6: magnetization 0.000 μB per atom. Number 7: magnetization 0.765 μB per atom. Number 8: magnetization 0.000 μB per atom. Number 9: magnetization 0.000 μB per atom. Number 10: magnetization 0.000 μB per atom. Number 11: magnetization 0.000 μB per atom. Number 12: magnetization 0.000 μB per atom.